Entry 1:
{
  "formula": "Pr3Ho3PuSe8",
  "functional": "GGA-PBE",
  "state": "relaxed",
  "lattice": [[8.261, 0.000, 0.000], [-4.130, 7.153, -0.026], [0.000, -4.745, 6.864]],
  "species": ["Se", "Se", "Se", "Se", "Se", "Se", "Se", "Se", "Pr", "Pr", "Pr", "Ho", "Ho", "Ho", "Pu"],
  "frac_coords": [[0.252, 0.988, 0.741], [0.744, 0.489, 0.733], [0.252, 0.505, 0.740], [0.748, 0.012, 0.259], [0.256, 0.511, 0.267], [0.264, 0.012, 0.259], [0.736, 0.988, 0.741], [0.748, 0.495, 0.260], [0.000, 0.000, 0.000], [0.500, 0.500, 0.000], [0.000, 0.500, 0.000], [0.500, 0.000, 0.500], [0.000, 0.500, 0.500], [0.500, 0.500, 0.500], [0.000, 0.000, 0.500]],
  "volume_a3_per_cell": 404.60,
  "energy_ev_per_atom": -6.486
}

Entry 2:
{
  "formula": "PrHoPu2Se5",
  "functional": "GGA-PBE",
  "state": "relaxed",
  "lattice": [[-1.692, 3.495, -3.332], [-4.811, -0.916, 1.482], [0.896, 7.809, 7.737]],
  "species": ["Pu", "Pu", "Pr", "Se", "Se", "Se", "Se", "Se", "Ho"],
  "frac_coords": [[0.500, 0.500, 0.685], [0.500, 0.500, 0.315], [0.000, 0.000, 0.000], [0.500, 0.000, 0.500], [0.000, 0.500, 0.500], [0.000, 0.000, 0.250], [0.000, 0.000, 0.750], [0.500, 0.500, 0.000], [0.000, 0.000, 0.500]],
  "volume_a3_per_cell": 288.73,
  "energy_ev_per_atom": -7.344
}

Entry 3:
{
  "formula": "Pr3HoPu2Se6",
  "functional": "GGA-PBE",
  "state": "relaxed",
  "lattice": [[-1.876, 6.848, 1.335], [-5.086, -5.106, -0.516], [2.821, -1.766, 6.509]],
  "species": ["Pu", "Pu", "Pr", "Pr", "Pr", "Se", "Se", "Se", "Se", "Se", "Se", "Ho"],
  "frac_coords": [[0.666, 0.334, 0.000], [0.334, 0.666, 0.000], [0.832, 0.168, 0.500], [0.500, 0.500, 0.500], [0.168, 0.832, 0.500], [0.592, 0.921, 0.764], [0.250, 0.250, 0.761], [0.079, 0.408, 0.236], [0.750, 0.750, 0.239], [0.408, 0.079, 0.236], [0.921, 0.592, 0.764], [0.000, 0.000, 0.000]],
  "volume_a3_per_cell": 312.00,
  "energy_ev_per_atom": -7.444
}

Entry 4:
{
  "formula": "PrHo2PuSe4",
  "functional": "GGA-PBE",
  "state": "relaxed",
  "lattice": [[4.100, 0.000, 0.000], [0.000, 7.147, 0.142], [0.000, -2.479, 6.757]],
  "species": ["Pu", "Se", "Se", "Se", "Se", "Ho", "Ho", "Pr"],
  "frac_coords": [[0.500, 0.500, 0.000], [0.000, 0.749, 0.261], [0.000, 0.251, 0.739], [0.500, 0.259, 0.264], [0.500, 0.741, 0.736], [0.000, 0.500, 0.500], [0.500, 0.000, 0.500], [0.000, 0.000, 0.000]],
  "volume_a3_per_cell": 199.41,
  "energy_ev_per_atom": -7.002
}

Entry 5:
{
  "formula": "Pr3Ho2PuSe6",
  "functional": "GGA-PBE",
  "state": "relaxed",
  "lattice": [[7.182, -0.003, 0.000], [-3.592, 6.219, 0.000], [-1.198, -2.074, 6.917]],
  "species": ["Pu", "Pr", "Pr", "Pr", "Se", "Se", "Se", "Se", "Se", "Se", "Ho", "Ho"],
  "frac_coords": [[0.000, 0.000, 0.000], [0.166, 0.834, 0.500], [0.834, 0.166, 0.500], [0.500, 0.500, 0.500], [0.740, 0.740, 0.233], [0.416, 0.078, 0.235], [0.922, 0.584, 0.765], [0.078, 0.416, 0.235], [0.260, 0.260, 0.767], [0.584, 0.922, 0.765], [0.667, 0.333, 0.000], [0.333, 0.667, 0.000]],
  "volume_a3_per_cell": 308.91,
  "energy_ev_per_atom": -6.661
}

Entry 6:
{
  "formula": "Pr2HoPuSe5",
  "functional": "GGA-PBE",
  "state": "relaxed",
  "lattice": [[5.084, 0.000, 0.000], [0.000, 5.084, 0.000], [0.000, 0.000, 10.932]],
  "species": ["Se", "Se", "Se", "Se", "Se", "Ho", "Pr", "Pr", "Pu"],
  "frac_coords": [[0.000, 0.000, 0.249], [0.500, 0.000, 0.500], [0.000, 0.500, 0.500], [0.500, 0.500, 0.000], [0.000, 0.000, 0.751], [0.000, 0.000, 0.500], [0.500, 0.500, 0.712], [0.500, 0.500, 0.288], [0.000, 0.000, 0.000]],
  "volume_a3_per_cell": 282.57,
  "energy_ev_per_atom": -6.352
}

Entry 7:
{
  "formula": "PrHoPuSn",
  "functional": "GGA-PBE",
  "state": "relaxed",
  "lattice": [[5.480, 0.000, 0.000], [2.740, 4.746, 0.000], [2.740, 1.582, 4.475]],
  "species": ["Pr", "Ho", "Sn", "Pu"],
  "frac_coords": [[0.500, 0.500, 0.500], [0.750, 0.750, 0.750], [0.250, 0.250, 0.250], [0.000, 0.000, 0.000]],
  "volume_a3_per_cell": 116.39,
  "energy_ev_per_atom": -7.043,
  "e_form_kj_per_mol_fu": -46
}

Entry 8:
{
  "formula": "Tb6Pr3Ho2Pu",
  "functional": "GGA-PBE",
  "state": "relaxed",
  "lattice": [[-1.063, -5.599, -2.461], [5.792, 1.719, 1.426], [-2.891, -3.142, 11.015]],
  "species": ["Pr", "Pr", "Pr", "Tb", "Tb", "Tb", "Tb", "Tb", "Tb", "Ho", "Ho", "Pu"],
  "frac_coords": [[0.167, 0.833, 0.500], [0.500, 0.500, 0.500], [0.833, 0.167, 0.500], [0.752, 0.752, 0.243], [0.919, 0.590, 0.757], [0.410, 0.081, 0.243], [0.590, 0.919, 0.757], [0.248, 0.248, 0.757], [0.081, 0.410, 0.243], [0.333, 0.667, 0.000], [0.667, 0.333, 0.000], [0.000, 0.000, 0.000]],
  "volume_a3_per_cell": 388.00,
  "energy_ev_per_atom": -5.421,
  "e_form_kj_per_mol_fu": 54
}